First-principles (SCAN) data for a PBEsol-optimized structure of RhCl3O, as listed in Alexandria.

```
RhCl3O
1.0
4.3619 0.0000 0.0000
0.0000 4.3619 0.0000
0.0000 0.0000 4.3619
Rh Cl O
1 3 1
direct
0.0000 0.0000 0.0000
0.0000 0.5000 0.5000
0.5000 0.0000 0.5000
0.5000 0.5000 0.0000
0.5000 0.5000 0.5000
```

Summary:
**Space-group type**: Pm-3m (221)

=====

First-principles (SCAN) data for a PBEsol-optimized structure of RuCl2O, as listed in Alexandria.

```
RuCl2O
1.0
-1.7625 1.8240 5.7889
1.7625 -1.8240 5.7889
1.7625 1.8240 -5.7889
Ru Cl O
1 2 1
direct
0.0000 0.0000 0.0000
0.1369 0.6369 0.5000
0.8631 0.3631 0.5000
0.5000 0.0000 0.5000
```

Summary:
**Space-group type**: Immm (71)

=====

First-principles (SCAN) data for a PBEsol-optimized structure of RuSCl2O, as listed in Alexandria.

```
RuSCl2O
1.0
5.3347 0.0000 0.0000
0.0000 5.3347 0.0000
0.0000 0.0000 3.5151
Ru S Cl O
1 1 2 1
direct
0.0000 0.0000 0.0000
0.5000 0.5000 0.0000
0.0000 0.5000 0.5000
0.5000 0.0000 0.5000
0.0000 0.0000 0.5000
```

Summary:
**Space-group type**: P4/mmm (123)

=====

First-principles (SCAN) data for a PBEsol-optimized structure of SeSCl2O, as listed in Alexandria.

```
SeSCl2O
1.0
4.5789 0.0000 0.0000
0.0000 4.5789 0.0000
0.0000 0.0000 3.9413
Se S Cl O
1 1 2 1
direct
0.0000 0.0000 0.0000
0.5000 0.5000 0.0000
0.0000 0.5000 0.5000
0.5000 0.0000 0.5000
0.5000 0.5000 0.5000
```

Summary:
**Space-group type**: P4/mmm (123)

=====

First-principles (SCAN) data for a PBEsol-optimized structure of TaSCl7O, as listed in Alexandria.

```
TaSCl7O
1.0
16.5737 0.0000 0.0000
0.0000 8.9520 0.0000
0.0000 0.0000 7.3190
Ta S Cl O
4 4 28 4
direct
0.1365 0.2500 0.0014
0.3635 0.7500 0.5014
0.6365 0.2500 0.4986
0.8635 0.7500 0.9986
0.1600 0.7500 0.6691
0.3400 0.2500 0.1691
0.6600 0.7500 0.8309
0.8400 0.2500 0.3309
0.0193 0.2500 0.8452
0.0801 0.2500 0.2951
0.1229 0.5750 0.5102
0.1229 0.9250 0.5102
0.1485 0.5087 0.0204
0.1485 0.9913 0.0204
0.2200 0.2500 0.7502
0.2800 0.7500 0.2502
0.3515 0.0087 0.5204
0.3515 0.4913 0.5204
0.3771 0.0750 0.0102
0.3771 0.4250 0.0102
0.4199 0.7500 0.7951
0.4807 0.7500 0.3452
0.5193 0.2500 0.6548
0.5801 0.2500 0.2049
0.6229 0.5750 0.9898
0.6229 0.9250 0.9898
0.6485 0.5087 0.4796
0.6485 0.9913 0.4796
0.7200 0.2500 0.7498
0.7800 0.7500 0.2498
0.8515 0.0087 0.9796
0.8515 0.4913 0.9796
0.8771 0.0750 0.4898
0.8771 0.4250 0.4898
0.9199 0.7500 0.7049
0.9807 0.7500 0.1548
0.2493 0.7500 0.6642
0.2507 0.2500 0.1642
0.7493 0.7500 0.8358
0.7507 0.2500 0.3358
```

Summary:
**Space-group type**: Pnma (62)

=====

First-principles (SCAN) data for a PBEsol-optimized structure of Ti4S8Cl6O, as listed in Alexandria.

```
Ti4S8Cl6O
1.0
4.7214 -8.2249 0.0000
4.7214 8.2249 0.0000
-3.6743 0.0000 12.0921
Ti S Cl O
8 16 12 2
direct
0.1284 0.7616 0.8544
0.1421 0.2028 0.2893
0.2028 0.1421 0.7893
0.2384 0.8716 0.6456
0.7616 0.1284 0.3544
0.7972 0.8579 0.2107
0.8579 0.7972 0.7107
0.8716 0.2384 0.1456
0.0531 0.9202 0.3275
0.0798 0.9469 0.1725
0.1454 0.2780 0.1168
0.1573 0.4552 0.2374
0.1706 0.6099 0.7075
0.2780 0.1454 0.6168
0.3901 0.8294 0.7925
0.4552 0.1573 0.7374
0.5448 0.8427 0.2626
0.6099 0.1706 0.2075
0.7220 0.8546 0.3832
0.8294 0.3901 0.2925
0.8427 0.5448 0.7626
0.8546 0.7220 0.8832
0.9202 0.0531 0.8275
0.9469 0.0798 0.6725
0.0662 0.2781 0.4631
0.1934 0.6824 0.0007
0.2781 0.0662 0.9631
0.3176 0.8066 0.4993
0.3315 0.4134 0.8702
0.4134 0.3315 0.3702
0.5866 0.6685 0.6298
0.6685 0.5866 0.1298
0.6824 0.1934 0.5007
0.7219 0.9338 0.0369
0.8066 0.3176 0.9993
0.9338 0.7219 0.5369
0.1070 0.8930 0.7500
0.8930 0.1070 0.2500
```

Summary:
**Space-group type**: C2/c (15)

=====

First-principles (SCAN) data for a PBEsol-optimized structure of SbCl3O, as listed in Alexandria.

```
SbCl3O
1.0
4.4919 0.0000 0.0000
0.0000 4.4919 0.0000
0.0000 0.0000 4.4919
Sb Cl O
1 3 1
direct
0.0000 0.0000 0.0000
0.0000 0.5000 0.5000
0.5000 0.0000 0.5000
0.5000 0.5000 0.0000
0.5000 0.5000 0.5000
```

Summary:
**Space-group type**: Pm-3m (221)

=====

First-principles (SCAN) data for a PBEsol-optimized structure of SbClO2, as listed in Alexandria.

```
SbClO2
1.0
1.6716 0.9651 6.9144
-1.6716 0.9651 6.9144
0.0000 -1.9302 6.9144
Sb Cl O
1 1 2
direct
0.0000 0.0000 0.0000
0.5000 0.5000 0.5000
0.0947 0.0947 0.0947
0.9053 0.9053 0.9053
```

Summary:
**Space-group type**: R-3m (166)

=====

First-principles (SCAN) data for a PBEsol-optimized structure of ZnSb2Cl2O3, as listed in Alexandria.

```
ZnSb2Cl2O3
1.0
17.5680 0.0000 0.0000
0.0000 5.5833 0.0000
0.0000 0.0000 6.1508
Zn Sb Cl O
4 8 8 12
direct
0.0873 0.2500 0.0298
0.4127 0.7500 0.5298
0.5873 0.2500 0.4702
0.9127 0.7500 0.9702
0.1150 0.7500 0.6826
0.2362 0.2500 0.7499
0.2638 0.7500 0.2499
0.3850 0.2500 0.1826
0.6150 0.7500 0.8174
0.7362 0.2500 0.7501
0.7638 0.7500 0.2501
0.8850 0.2500 0.3174
0.0281 0.7500 0.1259
0.1101 0.2500 0.3879
0.3899 0.7500 0.8879
0.4719 0.2500 0.6259
0.5281 0.7500 0.3741
0.6101 0.2500 0.1121
0.8899 0.7500 0.6121
0.9719 0.2500 0.8741
0.1573 0.0167 0.8700
0.1573 0.4833 0.8700
0.2170 0.7500 0.5427
0.2830 0.2500 0.0427
0.3427 0.5167 0.3700
0.3427 0.9833 0.3700
0.6573 0.0167 0.6300
0.6573 0.4833 0.6300
0.7170 0.7500 0.9573
0.7830 0.2500 0.4573
0.8427 0.5167 0.1300
0.8427 0.9833 0.1300
```

Summary:
**Space-group type**: Pnma (62)

=====

First-principles (SCAN) data for a PBEsol-optimized structure of ScTl2ClO, as listed in Alexandria.

```
ScTl2ClO
1.0
5.5454 0.0000 0.0000
0.0000 5.5454 0.0000
0.0000 0.0000 4.6902
Sc Tl Cl O
1 2 1 1
direct
0.0000 0.0000 0.0000
0.0000 0.5000 0.5000
0.5000 0.0000 0.5000
0.0000 0.0000 0.5000
0.5000 0.5000 0.0000
```

Summary:
**Space-group type**: P4/mmm (123)

=====

First-principles (SCAN) data for a PBEsol-optimized structure of ScW2ClO, as listed in Alexandria.

```
ScW2ClO
1.0
3.9016 0.0000 0.0000
0.0000 3.9016 0.0000
0.0000 0.0000 5.4690
Sc W Cl O
1 2 1 1
direct
0.0000 0.0000 0.0000
0.0000 0.5000 0.5000
0.5000 0.0000 0.5000
0.5000 0.5000 0.0000
0.5000 0.5000 0.5000
```

Summary:
**Space-group type**: P4/mmm (123)

=====

First-principles (SCAN) data for a PBEsol-optimized structure of Tb5Se2Cl3O10, as listed in Alexandria.

```
Tb5Se2Cl3O10
1.0
6.0259 -2.7110 0.0000
6.0259 2.7110 0.0000
-0.0988 0.0000 9.7211
Tb Se Cl O
5 2 3 10
direct
0.0000 0.0000 0.0000
0.2883 0.2883 0.8954
0.4018 0.4018 0.2359
0.5982 0.5982 0.7641
0.7117 0.7117 0.1046
0.0906 0.0906 0.3213
0.9094 0.9094 0.6787
0.1581 0.1581 0.6502
0.5000 0.5000 0.5000
0.8419 0.8419 0.3498
0.1103 0.6007 0.0601
0.1816 0.7019 0.7958
0.2281 0.2281 0.2980
0.2981 0.8184 0.2042
0.3993 0.8897 0.9399
0.6007 0.1103 0.0601
0.7019 0.1816 0.7958
0.7719 0.7719 0.7020
0.8184 0.2981 0.2042
0.8897 0.3993 0.9399
```

Summary:
**Space-group type**: C2/m (12)

=====

| no. | energy (eV per atom) | M_tot (μB per atom) |
| --- | --- | --- |
| 1 | -11.91 | 0.5013 |
| 2 | -15.13 | 0.0164 |
| 3 | -12.70 | 0.7851 |
| 4 | -9.39 | 0.0000 |
| 5 | -14.97 | 0.0000 |
| 6 | -11.72 | 0.0000 |
| 7 | -12.98 | 0.0874 |
| 8 | -13.87 | 0.4514 |
| 9 | -16.71 | 0.0000 |
| 10 | -34.32 | 0.3376 |
| 11 | -33.77 | 0.0000 |
| 12 | -20.87 | 0.0000 |